An optimized crystal structure of BaCuSe. Source: the Alexandria database, functional PBE-GGA.

The structure in CIF format:
```
data_BaCuSe
_symmetry_space_group_name_H-M 'P 1'
_symmetry_Int_Tables_number 1
_cell_length_a 7.433
_cell_length_b 7.433
_cell_length_c 7.433
_cell_angle_alpha 90.00
_cell_angle_beta 90.00
_cell_angle_gamma 90.00
loop_
_symmetry_equiv_pos_as_xyz
'x,y,z'
loop_
_atom_site_label
_atom_site_fract_x
_atom_site_fract_y
_atom_site_fract_z
Ba1 0.000 0.000 0.000
Ba2 0.000 0.500 0.500
Ba3 0.500 0.000 0.500
Ba4 0.500 0.500 0.000
Cu1 0.250 0.250 0.750
Cu2 0.250 0.750 0.250
Cu3 0.750 0.250 0.250
Cu4 0.750 0.750 0.750
Se1 0.250 0.250 0.250
Se2 0.250 0.750 0.750
Se3 0.750 0.250 0.750
Se4 0.750 0.750 0.250
```

Properties
**Formation energy from raw total energies**: -0.349 eV/atom
**Relative energy among the computed polymorphs**: 135 kJ/mol of formula units
**Total magnetization**: 0.000 μB per atom
**Electronic total energy**: -3.517 eV per atom